Version 1
A geometry-optimized CsZr3Si structure. Source: Alexandria, functional PBE.

Values from the calculation:
Spin magnetization, μB per cell: 0.000

a = 5.213 Å, b = 5.213 Å, c = 5.213 Å
α = 90.00°, β = 90.00°, γ = 90.00°
Positions (direct):
Cs1 0.000 0.000 0.000
Zr1 0.000 0.500 0.500
Zr2 0.500 0.000 0.500
Zr3 0.500 0.500 0.000
Si1 0.500 0.500 0.500


Version 2
A geometry-optimized CsZr3Si structure. Source: Alexandria, functional PBE.

Values from the calculation:
Spin magnetization, μB per cell: 1.467

a = 5.206 Å, b = 5.206 Å, c = 5.206 Å
α = 90.00°, β = 90.00°, γ = 90.00°
Positions (direct):
Cs1 0.000 0.000 0.000
Zr1 0.000 0.000 0.500
Zr2 0.000 0.500 0.000
Zr3 0.500 0.000 0.000
Si1 0.500 0.500 0.500


In kJ/mol of atoms, relative to the most stable structure: version 1 0.0; version 2 138.9.


Version 1
A geometry-optimized CsSmTl2 structure. Source: Alexandria, functional PBE.

Values from the calculation:
Spin magnetization, μB per cell: 0.000

a = 11.355 Å, b = 11.355 Å, c = 11.355 Å
α = 20.08°, β = 20.08°, γ = 20.08°
Positions (direct):
Cs1 0.000 0.000 0.000
Sm1 0.500 0.500 0.500
Tl1 0.238 0.238 0.238
Tl2 0.762 0.762 0.762


Version 2
A geometry-optimized CsSmTl2 structure. Source: Alexandria, functional PBE.

Values from the calculation:
Spin magnetization, μB per cell: 0.004

a = 4.001 Å, b = 4.001 Å, c = 9.253 Å
α = 90.00°, β = 90.00°, γ = 90.00°
Positions (direct):
Cs1 0.000 0.000 0.000
Sm1 0.000 0.000 0.500
Tl1 0.500 0.500 0.311
Tl2 0.500 0.500 0.689


In kJ/mol of atoms, relative to the most stable structure: version 1 16.6; version 2 0.0.


Version 1
A geometry-optimized Cs2SrSn structure. Source: Alexandria, functional PBE.

Values from the calculation:
Spin magnetization, μB per cell: 0.000

a = 6.628 Å, b = 6.628 Å, c = 6.628 Å
α = 60.00°, β = 60.00°, γ = 60.00°
Positions (direct):
Cs1 0.250 0.250 0.250
Cs2 0.750 0.750 0.750
Sr1 0.000 0.000 0.000
Sn1 0.500 0.500 0.500


Version 2
A geometry-optimized Cs2SrSn structure. Source: Alexandria, functional PBE.

Values from the calculation:
Spin magnetization, μB per cell: 0.000

a = 14.794 Å, b = 14.794 Å, c = 14.794 Å
α = 159.79°, β = 159.79°, γ = 28.74°
Positions (direct):
Cs1 0.121 0.625 0.996
Cs2 0.375 0.371 0.496
Cs3 0.629 0.125 0.004
Cs4 0.875 0.879 0.504
Sr1 0.250 0.750 0.500
Sr2 0.500 0.500 0.000
Sn1 0.000 0.000 0.000
Sn2 0.750 0.250 0.500


In kJ/mol of atoms, relative to the most stable structure: version 1 7.5; version 2 0.0.


Version 1
A geometry-optimized CsSrSn3 structure. Source: Alexandria, functional PBE.

Values from the calculation:
Spin magnetization, μB per cell: 0.000

a = 6.152 Å, b = 6.152 Å, c = 6.152 Å
α = 90.00°, β = 90.00°, γ = 90.00°
Positions (direct):
Cs1 0.000 0.000 0.000
Sr1 0.500 0.500 0.500
Sn1 0.000 0.000 0.500
Sn2 0.000 0.500 0.000
Sn3 0.500 0.000 0.000


Version 2
A geometry-optimized CsSrSn3 structure. Source: Alexandria, functional PBE.

Values from the calculation:
Spin magnetization, μB per cell: 0.647

a = 6.225 Å, b = 6.225 Å, c = 6.225 Å
α = 90.00°, β = 90.00°, γ = 90.00°
Positions (direct):
Cs1 0.000 0.000 0.000
Sr1 0.500 0.500 0.500
Sn1 0.000 0.500 0.500
Sn2 0.500 0.000 0.500
Sn3 0.500 0.500 0.000


In kJ/mol of atoms, relative to the most stable structure: version 1 48.5; version 2 0.0.


Version 1
A geometry-optimized CsTa3Sn structure. Source: Alexandria, functional PBE.

Values from the calculation:
Spin magnetization, μB per cell: 0.000

a = 5.274 Å, b = 5.274 Å, c = 5.274 Å
α = 90.00°, β = 90.00°, γ = 90.00°
Positions (direct):
Cs1 0.000 0.000 0.000
Ta1 0.000 0.500 0.500
Ta2 0.500 0.000 0.500
Ta3 0.500 0.500 0.000
Sn1 0.500 0.500 0.500


Version 2
A geometry-optimized CsTa3Sn structure. Source: Alexandria, functional PBE.

Values from the calculation:
Spin magnetization, μB per cell: 0.000

a = 5.060 Å, b = 5.060 Å, c = 5.060 Å
α = 90.00°, β = 90.00°, γ = 90.00°
Positions (direct):
Cs1 0.000 0.000 0.000
Ta1 0.000 0.000 0.500
Ta2 0.000 0.500 0.000
Ta3 0.500 0.000 0.000
Sn1 0.500 0.500 0.500


In kJ/mol of atoms, relative to the most stable structure: version 1 0.0; version 2 70.7.


Version 1
A geometry-optimized CsTcSn2 structure. Source: Alexandria, functional PBE.

Values from the calculation:
Spin magnetization, μB per cell: 1.962

a = 5.357 Å, b = 5.357 Å, c = 5.357 Å
α = 60.00°, β = 60.00°, γ = 60.00°
Positions (direct):
Cs1 0.000 0.000 0.000
Tc1 0.500 0.500 0.500
Sn1 0.250 0.250 0.250
Sn2 0.750 0.750 0.750


Version 2
A geometry-optimized CsTcSn2 structure. Source: Alexandria, functional PBE.

Values from the calculation:
Spin magnetization, μB per cell: 0.000

a = 8.847 Å, b = 8.847 Å, c = 8.847 Å
α = 133.62°, β = 133.62°, γ = 67.68°
Positions (direct):
Cs1 0.375 0.625 0.750
Cs2 0.625 0.375 0.250
Tc1 0.125 0.875 0.250
Tc2 0.875 0.125 0.750
Sn1 0.000 0.000 0.000
Sn2 0.000 0.000 0.500
Sn3 0.000 0.500 0.000
Sn4 0.500 0.000 0.500


In kJ/mol of atoms, relative to the most stable structure: version 1 65.0; version 2 0.0.